(1)
This record from Alexandria describes Pa7Ga2Tc2 after structural relaxation. The functional is PBE.

Summary:
DFT formation energy: 48 meV/atom
Raw total energy: -0.3098 hartree per atom
Density of states at the Fermi level: 1.788 states/eV/atom
Crystal system: orthorhombic

Lattice parameters (Å, degrees): 8.0073 10.1716 6.5515 90.00 90.00 90.00
Space group Cmmm (No. 65)
Asymmetric unit:
Pa: 0.0000 0.0000 0.0000 x2
Pa: 0.0000 0.5000 0.2828 x4
Pa: 0.2500 0.2500 0.2867 x8
Ga: 0.1543 0.0000 0.5000 x4
Tc: 0.0000 0.2702 0.0000 x4

---

(2)
This record from Alexandria describes BeAgBr2 after structural relaxation. The functional is PBE.

Summary:
Relative energy among the computed polymorphs: 32 meV/atom
Raw total energy: -0.1008 hartree per atom
ΔE_f (raw): -25.3 kJ/mol of atoms
Density of states at the Fermi level: 0.094 states/eV/atom
Crystal system: trigonal

Lattice parameters (Å, degrees): 3.3757 3.3757 31.6559 90.00 90.00 120.00
Space group R-3m (No. 166, hexagonal axes)
Asymmetric unit:
Be: 0.0000 0.0000 0.0000 x3
Ag: 0.0000 0.0000 0.5000 x3
Br: 0.0000 0.0000 0.3774 x6

---

raw total energy of number 1 (Pa7Ga2Tc2)? -0.3098 hartree per atom